Density functional theory data (GGA-PBE) for a relaxed structure of LaHo2In.

Cell: 5.477 5.477 5.477 Å, 60.00 60.00 60.00°
Element x y z (fractional)
Ho (0.250, 0.250, 0.250)
Ho (0.750, 0.750, 0.750)
In (0.500, 0.500, 0.500)
La (0.000, 0.000, 0.000)

Values from the calculation:
energy of formation from the pure elements = -83 meV per atom
total energy = -4.29 eV per atom
total moment = 0.9 μB per cell
density = 8.3 g cm⁻³
energy above the lowest structure with this stoichiometry = 168 meV per atom

---

Density functional theory data (GGA-PBE) for a relaxed structure of La12HoIn3.

Cell: 5.084 5.084 20.560 Å, 90.00 90.00 90.00°
Element x y z (fractional)
Ho (0.000, 0.000, 0.000)
La (0.500, 0.000, 0.377)
La (0.000, 0.500, 0.130)
La (0.500, 0.000, 0.623)
La (0.000, 0.500, 0.870)
La (0.500, 0.500, 0.253)
La (0.000, 0.500, 0.623)
La (0.500, 0.500, 0.500)
La (0.500, 0.500, 0.000)
La (0.500, 0.000, 0.870)
La (0.000, 0.500, 0.377)
La (0.500, 0.000, 0.130)
La (0.500, 0.500, 0.747)
In (0.000, 0.000, 0.254)
In (0.000, 0.000, 0.500)
In (0.000, 0.000, 0.746)

Values from the calculation:
energy of formation from the pure elements = -216 meV per atom
total energy = -4.71 eV per atom
total moment = 0.0 μB per cell
density = 6.8 g cm⁻³

---

Density functional theory data (GGA-PBE) for a relaxed structure of La6HoIn5.

Cell: 5.139 9.320 9.411 Å, 119.68 105.81 90.00°
Element x y z (fractional)
In (0.669, 0.670, 0.340)
In (0.331, 0.330, 0.660)
In (0.000, 0.500, 0.000)
In (0.348, 0.847, 0.695)
In (0.652, 0.153, 0.305)
La (0.500, 0.736, 0.000)
La (0.171, 0.913, 0.344)
La (0.500, 0.264, 0.000)
La (0.171, 0.432, 0.345)
La (0.829, 0.087, 0.656)
La (0.829, 0.568, 0.655)
Ho (0.000, 0.000, 0.000)

Values from the calculation:
energy of formation from the pure elements = -408 meV per atom
total energy = -4.39 eV per atom
total moment = 0.0 μB per cell
density = 7.0 g cm⁻³

---

Density functional theory data (GGA-PBE) for a relaxed structure of La15HoIn4.

Cell: 5.072 5.072 25.719 Å, 90.00 90.00 90.00°
Element x y z (fractional)
La (0.000, 0.500, 0.500)
La (0.000, 0.500, 0.698)
La (0.000, 0.500, 0.104)
La (0.500, 0.000, 0.104)
La (0.000, 0.500, 0.896)
La (0.500, 0.000, 0.698)
La (0.500, 0.000, 0.302)
La (0.500, 0.500, 0.599)
La (0.500, 0.500, 0.000)
La (0.500, 0.500, 0.401)
La (0.500, 0.500, 0.797)
La (0.500, 0.000, 0.500)
La (0.500, 0.500, 0.203)
La (0.000, 0.500, 0.302)
La (0.500, 0.000, 0.896)
In (0.000, 0.000, 0.796)
In (0.000, 0.000, 0.401)
In (0.000, 0.000, 0.204)
In (0.000, 0.000, 0.599)
Ho (0.000, 0.000, 0.000)

Values from the calculation:
energy of formation from the pure elements = -231 meV per atom
total energy = -4.70 eV per atom
total moment = 0.0 μB per cell
density = 6.8 g cm⁻³

---

Q: Look up the total moment of the third one.
A: 0.0 μB per cell

---

Q: Among the records above, which one has the lowest energy of formation from the pure elements?
A: La6HoIn5

---

Q: What is the density in the first record?
A: 8.3 g cm⁻³

---

Q: Among the records above, which one has the highest density?
A: LaHo2In